Here is a relaxed LiSb3F crystal from Alexandria via LeMat-Bulk. Energies are from GGA-PBE.

Calculated values
The calculation puts the calculated volume at 120.9 Å³/cell. As for the crystal system: cubic. For the uncorrected formation energy, the calculation gives -0.255 eV per atom. Its magnetic moment is 0.000 Bohr magnetons per cell. The density of states at the Fermi level comes out at 0.43 states/eV/atom.

a = 4.9447 Å, b = 4.9447 Å, c = 4.9447 Å
α = 90.00°, β = 90.00°, γ = 90.00°
With the nearest neighbours (Å) after each atom.
Space group Pm-3m (No. 221)
Asymmetric unit:
Li1 0.0000 0.0000 0.0000 (multiplicity 1)  12 Sb 3.50
Sb1 0.0000 0.5000 0.5000 (multiplicity 3)  2 F 2.47
F1 0.5000 0.5000 0.5000 (multiplicity 1)  6 Sb 2.47